A.
Computed, not measured: a crystal of Mn2BrCl relaxed with PBEsol at the SCAN level of DFT.

Computed properties:
SG = Imm2

Geometry as POSCAR:
```
Mn2BrCl
1.0
-1.5831 3.2842 4.4305
1.5831 -3.2842 4.4305
1.5831 3.2842 -4.4305
Mn Br Cl
2 1 1
Cartesian
0.0000 0.0000 0.0000 Mn
0.0000 3.2842 2.3110 Mn
1.5831 0.0000 1.8864 Br
0.0000 0.0000 5.0307 Cl
```


B.
Computed, not measured: a crystal of Mn2BrCl relaxed with PBEsol at the SCAN level of DFT.

Computed properties:
SG = C2/m

Geometry as POSCAR:
```
Mn2BrCl
1.0
3.2317 -4.0001 0.0000
3.2317 4.0001 0.0000
-1.6410 0.0000 2.9128
Mn Br Cl
2 1 1
Cartesian
1.6158 2.0000 0.0000 Mn
1.6158 -2.0000 0.0000 Mn
0.0000 0.0000 0.0000 Br
3.2317 0.0000 0.0000 Cl
```


C.
Computed, not measured: a crystal of Mn2BrCl relaxed with PBEsol at the SCAN level of DFT.

Computed properties:
SG = Fm-3m

Geometry as POSCAR:
```
Mn2BrCl
1.0
0.0000 3.2086 3.2086
3.2086 0.0000 3.2086
3.2086 3.2086 0.0000
Mn Br Cl
2 1 1
Cartesian
1.6043 1.6043 1.6043 Mn
4.8129 4.8129 4.8129 Mn
0.0000 0.0000 0.0000 Br
3.2086 3.2086 3.2086 Cl
```


Q: Which of them is the most stable? A: A.


A.
Computed, not measured: a crystal of MoBr2Cl relaxed with PBEsol at the SCAN level of DFT.

Computed properties:
SG = P4/mmm

Geometry as POSCAR:
```
MoBr2Cl
1.0
4.9164 0.0000 0.0000
0.0000 4.9164 0.0000
0.0000 0.0000 3.2634
Mo Br Cl
1 2 1
Cartesian
0.0000 0.0000 0.0000 Mo
0.0000 2.4582 1.6317 Br
2.4582 0.0000 1.6317 Br
2.4582 2.4582 0.0000 Cl
```


B.
Computed, not measured: a crystal of MoBr2Cl relaxed with PBEsol at the SCAN level of DFT.

Computed properties:
SG = Cmm2

Geometry as POSCAR:
```
MoBr2Cl
1.0
1.4928 -2.9387 0.0000
1.4928 2.9387 0.0000
0.0000 0.0000 10.5953
Mo Br Cl
1 2 1
Cartesian
0.0000 0.0000 0.0000 Mo
0.0000 0.0000 5.3252 Br
1.4928 0.0000 2.0308 Br
1.4928 0.0000 8.7187 Cl
```


Q: Which of them is the most stable? A: B.


A.
Computed, not measured: a crystal of MoBr2Cl relaxed with PBEsol at the SCAN level of DFT.

Computed properties:
SG = R-3m

Geometry as POSCAR:
```
MoBr2Cl
1.0
1.6762 0.9677 8.1168
-1.6762 0.9677 8.1168
0.0000 -1.9355 8.1168
Mo Br Cl
1 2 1
Cartesian
0.0000 0.0000 0.0000 Mo
0.0000 0.0000 6.4033 Br
0.0000 0.0000 17.9470 Br
0.0000 0.0000 12.1751 Cl
```


B.
Computed, not measured: a crystal of MoBr2Cl relaxed with PBEsol at the SCAN level of DFT.

Computed properties:
SG = Cm

Geometry as POSCAR:
```
MoBr2Cl
1.0
6.0952 -1.6118 0.0000
6.0952 1.6118 0.0000
-3.3980 0.0000 5.5113
Mo Br Cl
1 2 1
Cartesian
0.0000 0.0000 0.0000 Mo
1.6974 0.0000 3.7725 Br
4.9820 0.0000 1.6638 Br
7.9111 0.0000 0.0428 Cl
```


Q: Which of them is the most stable? A: B.


A.
Computed, not measured: a crystal of MoBrCl2 relaxed with PBEsol at the SCAN level of DFT.

Computed properties:
SG = R3m

Geometry as POSCAR:
```
MoBrCl2
1.0
1.9229 1.1102 6.7803
-1.9229 1.1102 6.7803
0.0000 -2.2204 6.7803
Mo Br Cl
1 1 2
Cartesian
0.0000 0.0000 0.0000 Mo
0.0000 0.0000 14.9676 Br
0.0000 0.0000 5.6387 Cl
0.0000 0.0000 10.3037 Cl
```


B.
Computed, not measured: a crystal of MoBrCl2 relaxed with PBEsol at the SCAN level of DFT.

Computed properties:
SG = Cmm2

Geometry as POSCAR:
```
MoBrCl2
1.0
1.4907 -2.9357 0.0000
1.4907 2.9357 0.0000
0.0000 0.0000 9.8494
Mo Br Cl
1 1 2
Cartesian
0.0000 0.0000 0.0000 Mo
1.4907 0.0000 2.0257 Br
0.0000 0.0000 4.9300 Cl
1.4907 0.0000 7.9794 Cl
```


Q: Which of them is the most stable? A: A.


A.
Computed, not measured: a crystal of MoSeBr2Cl relaxed with PBEsol at the SCAN level of DFT.

Computed properties:
SG = P4/mmm

Geometry as POSCAR:
```
MoSeBr2Cl
1.0
5.0947 0.0000 0.0000
0.0000 5.0947 0.0000
0.0000 0.0000 4.9998
Mo Se Br Cl
1 1 2 1
Cartesian
0.0000 0.0000 0.0000 Mo
2.5474 2.5474 0.0000 Se
0.0000 2.5474 2.4999 Br
2.5474 0.0000 2.4999 Br
2.5474 2.5474 2.4999 Cl
```


B.
Computed, not measured: a crystal of MoSeBr2Cl relaxed with PBEsol at the SCAN level of DFT.

Computed properties:
SG = P4/mmm

Geometry as POSCAR:
```
MoSeBr2Cl
1.0
4.9716 0.0000 0.0000
0.0000 4.9716 0.0000
0.0000 0.0000 4.8035
Mo Se Br Cl
1 1 2 1
Cartesian
0.0000 0.0000 0.0000 Mo
0.0000 0.0000 2.4018 Se
0.0000 2.4858 0.0000 Br
2.4858 0.0000 0.0000 Br
2.4858 2.4858 2.4018 Cl
```


Q: Which of them is the most stable? A: B.


A.
Computed, not measured: a crystal of Ni2BrCl relaxed with PBEsol at the SCAN level of DFT.

Computed properties:
SG = P4/mmm

Geometry as POSCAR:
```
Ni2BrCl
1.0
4.3660 0.0000 0.0000
0.0000 4.3660 0.0000
0.0000 0.0000 3.1023
Ni Br Cl
2 1 1
Cartesian
0.0000 2.1830 0.0000 Ni
2.1830 0.0000 0.0000 Ni
0.0000 0.0000 1.5512 Br
2.1830 2.1830 1.5512 Cl
```


B.
Computed, not measured: a crystal of Ni2BrCl relaxed with PBEsol at the SCAN level of DFT.

Computed properties:
SG = Pm

Geometry as POSCAR:
```
Ni2BrCl
1.0
3.5839 0.0000 0.0000
0.0000 3.4201 0.0000
-0.0664 0.0000 6.1837
Ni Br Cl
2 1 1
Cartesian
0.0000 0.0000 0.0000 Ni
1.7145 1.7100 5.5516 Ni
2.4186 0.0000 4.1125 Br
0.6577 1.7100 1.2599 Cl
```


Q: Which of them is the most stable? A: B.


A.
Computed, not measured: a crystal of PBr2Cl relaxed with PBEsol at the SCAN level of DFT.

Computed properties:
SG = Imm2

Geometry as POSCAR:
```
PBr2Cl
1.0
-1.6429 2.7664 5.4890
1.6429 -2.7664 5.4890
1.6429 2.7664 -5.4890
P Br Cl
1 2 1
Cartesian
0.0000 0.0000 0.0000 P
1.6429 0.0000 1.8924 Br
0.0000 0.0000 5.4496 Br
0.0000 2.7664 3.7324 Cl
```


B.
Computed, not measured: a crystal of PBr2Cl relaxed with PBEsol at the SCAN level of DFT.

Computed properties:
SG = R-3m

Geometry as POSCAR:
```
PBr2Cl
1.0
1.8627 1.0754 7.4411
-1.8627 1.0754 7.4411
0.0000 -2.1509 7.4411
P Br Cl
1 2 1
Cartesian
0.0000 0.0000 0.0000 P
0.0000 0.0000 5.9075 Br
0.0000 0.0000 16.4158 Br
0.0000 0.0000 11.1616 Cl
```


Q: Which of them is the most stable? A: A.


A.
Computed, not measured: a crystal of PBrCl2 relaxed with PBEsol at the SCAN level of DFT.

Computed properties:
SG = Pm

Geometry as POSCAR:
```
PBrCl2
1.0
6.0630 0.0000 0.0000
0.0000 3.5656 0.0000
-2.3394 0.0000 6.2543
P Br Cl
1 1 2
Cartesian
0.0000 0.0000 0.0000 P
4.8169 1.7828 1.3605 Br
-0.9965 1.7828 5.2684 Cl
2.3871 0.0000 4.7260 Cl
```


B.
Computed, not measured: a crystal of PBrCl2 relaxed with PBEsol at the SCAN level of DFT.

Computed properties:
SG = C2/m

Geometry as POSCAR:
```
PBrCl2
1.0
3.6554 -3.7996 0.0000
3.6554 3.7996 0.0000
-0.0241 0.0000 3.2462
P Br Cl
1 1 2
Cartesian
0.0000 0.0000 0.0000 P
3.6554 0.0000 0.0000 Br
1.8277 1.8998 0.0000 Cl
1.8277 -1.8998 0.0000 Cl
```


Q: Which of them is the most stable? A: A.


A.
Computed, not measured: a crystal of Pd3BrCl relaxed with PBEsol at the SCAN level of DFT.

Computed properties:
SG = Pm-3m

Geometry as POSCAR:
```
Pd3BrCl
1.0
4.7103 0.0000 0.0000
0.0000 4.7103 0.0000
0.0000 0.0000 4.7103
Pd Br Cl
3 1 1
Cartesian
0.0000 0.0000 2.3552 Pd
0.0000 2.3552 0.0000 Pd
2.3552 0.0000 0.0000 Pd
0.0000 0.0000 0.0000 Br
2.3552 2.3552 2.3552 Cl
```


B.
Computed, not measured: a crystal of Pd3BrCl relaxed with PBEsol at the SCAN level of DFT.

Computed properties:
SG = Pm-3m

Geometry as POSCAR:
```
Pd3BrCl
1.0
4.5544 0.0000 0.0000
0.0000 4.5544 0.0000
0.0000 0.0000 4.5544
Pd Br Cl
3 1 1
Cartesian
0.0000 0.0000 2.2772 Pd
0.0000 2.2772 0.0000 Pd
2.2772 0.0000 0.0000 Pd
2.2772 2.2772 2.2772 Br
0.0000 0.0000 0.0000 Cl
```


Q: Which of them is the most stable? A: B.


A.
Computed, not measured: a crystal of PtBr2Cl relaxed with PBEsol at the SCAN level of DFT.

Computed properties:
SG = Pmm2

Geometry as POSCAR:
```
PtBr2Cl
1.0
2.9915 0.0000 0.0000
0.0000 3.1982 0.0000
0.0000 0.0000 9.6958
Pt Br Cl
1 2 1
Cartesian
0.0000 0.0000 0.0000 Pt
0.0000 0.0000 4.8972 Br
1.4958 1.5991 1.6865 Br
1.4958 1.5991 8.1482 Cl
```


B.
Computed, not measured: a crystal of PtBr2Cl relaxed with PBEsol at the SCAN level of DFT.

Computed properties:
SG = F-43m

Geometry as POSCAR:
```
PtBr2Cl
1.0
0.0000 3.3830 3.3830
3.3830 0.0000 3.3830
3.3830 3.3830 0.0000
Pt Br Cl
1 2 1
Cartesian
0.0000 0.0000 0.0000 Pt
1.6915 1.6915 1.6915 Br
3.3830 3.3830 3.3830 Br
5.0745 5.0745 5.0745 Cl
```


Q: Which of them is the most stable? A: A.


A.
Computed, not measured: a crystal of PtBr2Cl relaxed with PBEsol at the SCAN level of DFT.

Computed properties:
SG = Amm2

Geometry as POSCAR:
```
PtBr2Cl
1.0
3.5945 0.0000 0.0000
0.0000 2.6315 5.6734
0.0000 -2.6315 5.6734
Pt Br Cl
1 2 1
Cartesian
0.0000 0.0000 0.0000 Pt
0.0000 0.0000 5.7638 Br
1.7972 0.0000 9.6755 Br
1.7972 0.0000 1.5312 Cl
```


B.
Computed, not measured: a crystal of PtBr2Cl relaxed with PBEsol at the SCAN level of DFT.

Computed properties:
SG = Cmmm

Geometry as POSCAR:
```
PtBr2Cl
1.0
1.7947 -3.6820 0.0000
1.7947 3.6820 0.0000
0.0000 0.0000 7.9306
Pt Br Cl
1 2 1
Cartesian
0.0000 0.0000 0.0000 Pt
1.7947 0.0000 1.6348 Br
1.7947 0.0000 6.2958 Br
0.0000 0.0000 3.9653 Cl
```


Q: Which of them is the most stable? A: A.


A.
Computed, not measured: a crystal of Pt2BrCl relaxed with PBEsol at the SCAN level of DFT.

Computed properties:
SG = R3m

Geometry as POSCAR:
```
Pt2BrCl
1.0
1.8190 1.0502 7.2760
-1.8190 1.0502 7.2760
0.0000 -2.1004 7.2760
Pt Br Cl
2 1 1
Cartesian
0.0000 0.0000 0.0000 Pt
0.0000 0.0000 5.8144 Pt
0.0000 0.0000 15.9808 Br
0.0000 0.0000 11.8102 Cl
```


B.
Computed, not measured: a crystal of Pt2BrCl relaxed with PBEsol at the SCAN level of DFT.

Computed properties:
SG = I4/mmm

Geometry as POSCAR:
```
Pt2BrCl
1.0
-2.2732 2.2732 3.2634
2.2732 -2.2732 3.2634
2.2732 2.2732 -3.2634
Pt Br Cl
2 1 1
Cartesian
2.2732 0.0000 1.6317 Pt
0.0000 2.2732 1.6317 Pt
0.0000 0.0000 0.0000 Br
0.0000 0.0000 3.2634 Cl
```


C.
Computed, not measured: a crystal of Pt2BrCl relaxed with PBEsol at the SCAN level of DFT.

Computed properties:
SG = P4mm

Geometry as POSCAR:
```
Pt2BrCl
1.0
3.1281 0.0000 0.0000
0.0000 3.1281 0.0000
0.0000 0.0000 7.6478
Pt Br Cl
2 1 1
Cartesian
0.0000 0.0000 0.0000 Pt
1.5641 1.5641 1.5566 Pt
0.0000 0.0000 3.2458 Br
1.5641 1.5641 6.0642 Cl
```


Q: Which of them is the most stable? A: A.